This record from Alexandria describes an optimized crystal structure of LaTbZnAg. The functional is PBE-GGA.

Cell: 5.256 5.256 5.256 Å, 60.00 60.00 60.00°
Fractional coordinates of all 4 atoms:
La1 0.000 0.000 0.000
Tb1 0.500 0.500 0.500
Zn1 0.750 0.750 0.750
Ag1 0.250 0.250 0.250

Calculated values
DFT formation energy	-0.284	eV per atom
distance to the lowest polymorph of the same formula	22.7	meV/atom
mass density	7.6	g/cm³

This record from Alexandria describes an optimized crystal structure of LaTc2Ag. The functional is PBE-GGA.

Cell: 10.488 10.488 10.488 Å, 15.75 15.75 15.75°
Fractional coordinates of all 4 atoms:
La1 0.000 0.000 0.000
Tc1 0.243 0.243 0.243
Tc2 0.757 0.757 0.757
Ag1 0.500 0.500 0.500

Calculated values
DFT formation energy	0.856	eV per atom
distance to the lowest polymorph of the same formula	697.3	meV/atom
mass density	9.9	g/cm³

This record from Alexandria describes an optimized crystal structure of LaTc2Ag. The functional is PBE-GGA.

Cell: 4.775 4.775 4.775 Å, 60.00 60.00 60.00°
Fractional coordinates of all 4 atoms:
La1 0.000 0.000 0.000
Tc1 0.500 0.500 0.500
Tc2 0.750 0.750 0.750
Ag1 0.250 0.250 0.250

Calculated values
DFT formation energy	0.504	eV per atom
distance to the lowest polymorph of the same formula	345.8	meV/atom
mass density	9.6	g/cm³

This record from Alexandria describes an optimized crystal structure of La8Tc2Ag. The functional is PBE-GGA.

Cell: 8.132 8.132 5.991 Å, 98.71 98.71 115.63°
Fractional coordinates of all 11 atoms:
La1 0.000 0.000 0.000
La2 0.066 0.320 0.644
La3 0.206 0.668 0.228
La4 0.320 0.066 0.644
La5 0.484 0.752 0.812
La6 0.668 0.206 0.228
La7 0.752 0.484 0.812
La8 0.771 0.771 0.398
Tc1 0.047 0.641 0.661
Tc2 0.641 0.047 0.661
Ag1 0.381 0.381 0.196

Calculated values
DFT formation energy	-0.003	eV per atom
mass density	6.9	g/cm³

This record from Alexandria describes an optimized crystal structure of LaTc2Ag. The functional is PBE-GGA.

Cell: 2.903 2.903 9.788 Å, 90.00 90.00 113.48°
Fractional coordinates of all 4 atoms:
La1 0.000 0.000 0.000
Tc1 0.000 0.000 0.460
Tc2 0.500 0.500 0.260
Ag1 0.500 0.500 0.703

Calculated values
DFT formation energy	0.490	eV per atom
distance to the lowest polymorph of the same formula	330.9	meV/atom
mass density	9.7	g/cm³

This record from Alexandria describes an optimized crystal structure of La2TcAg. The functional is PBE-GGA.

Cell: 6.289 6.289 6.289 Å, 147.04 132.00 59.46°
Fractional coordinates of all 4 atoms:
La1 0.000 0.000 0.000
La2 0.701 0.201 0.500
Tc1 0.495 0.495 0.000
Ag1 0.292 0.792 0.500

Calculated values
DFT formation energy	0.100	eV per atom
mass density	8.1	g/cm³

This record from Alexandria describes an optimized crystal structure of LaTc2Ag. The functional is PBE-GGA.

Cell: 3.294 4.938 4.991 Å, 90.00 92.50 90.00°
Fractional coordinates of all 4 atoms:
La1 0.000 0.000 0.000
Tc1 0.333 0.500 0.786
Tc2 0.667 0.500 0.214
Ag1 0.500 0.000 0.500

Calculated values
DFT formation energy	0.543	eV per atom
distance to the lowest polymorph of the same formula	384.2	meV/atom
mass density	9.1	g/cm³

This record from Alexandria describes an optimized crystal structure of La3TcAg. The functional is PBE-GGA.

Cell: 5.466 5.466 5.466 Å, 90.00 90.00 90.00°
Fractional coordinates of all 5 atoms:
La1 0.000 0.000 0.500
La2 0.000 0.500 0.000
La3 0.500 0.000 0.000
Tc1 0.000 0.000 0.000
Ag1 0.500 0.500 0.500

Calculated values
DFT formation energy	0.022	eV per atom
distance to the lowest polymorph of the same formula	118.0	meV/atom
mass density	6.3	g/cm³

This record from Alexandria describes an optimized crystal structure of LaTc2Ag. The functional is PBE-GGA.

Cell: 10.325 10.325 10.325 Å, 16.29 16.29 16.29°
Fractional coordinates of all 4 atoms:
La1 0.000 0.000 0.000
Tc1 0.242 0.242 0.242
Tc2 0.510 0.510 0.510
Ag1 0.764 0.764 0.764

Calculated values
DFT formation energy	0.449	eV per atom
distance to the lowest polymorph of the same formula	290.8	meV/atom
mass density	9.7	g/cm³

This record from Alexandria describes an optimized crystal structure of La7TcAg2. The functional is PBE-GGA.

Cell: 9.116 9.116 10.821 Å, 121.95 121.95 59.50°
Fractional coordinates of all 20 atoms:
La1 0.099 0.901 0.750
La2 0.126 0.602 0.209
La3 0.205 0.406 0.491
La4 0.237 0.580 0.900
La5 0.398 0.874 0.291
La6 0.406 0.205 0.991
La7 0.420 0.763 0.600
La8 0.580 0.237 0.400
La9 0.594 0.795 0.009
La10 0.602 0.126 0.709
La11 0.763 0.420 0.100
La12 0.795 0.594 0.509
La13 0.874 0.398 0.791
La14 0.901 0.099 0.250
Tc1 0.481 0.519 0.250
Tc2 0.519 0.481 0.750
Ag1 0.152 0.173 0.608
Ag2 0.173 0.152 0.108
Ag3 0.827 0.848 0.892
Ag4 0.848 0.827 0.392

Calculated values
DFT formation energy	-0.079	eV per atom
mass density	7.0	g/cm³

This record from Alexandria describes an optimized crystal structure of La12TcAg6. The functional is PBE-GGA.

Cell: 8.464 8.464 8.464 Å, 93.91 93.91 93.91°
Fractional coordinates of all 19 atoms:
La1 0.040 0.927 0.691
La2 0.073 0.309 0.960
La3 0.181 0.415 0.528
La4 0.309 0.960 0.073
La5 0.415 0.528 0.181
La6 0.472 0.819 0.585
La7 0.528 0.181 0.415
La8 0.585 0.472 0.819
La9 0.691 0.040 0.927
La10 0.819 0.585 0.472
La11 0.927 0.691 0.040
La12 0.960 0.073 0.309
Tc1 0.500 0.500 0.500
Ag1 0.156 0.760 0.354
Ag2 0.240 0.646 0.844
Ag3 0.354 0.156 0.760
Ag4 0.646 0.844 0.240
Ag5 0.760 0.354 0.156
Ag6 0.844 0.240 0.646

Calculated values
DFT formation energy	-0.083	eV per atom
mass density	6.7	g/cm³

This record from Alexandria describes an optimized crystal structure of LaTc2Ag. The functional is PBE-GGA.

Cell: 4.734 4.734 4.734 Å, 60.00 60.00 60.00°
Fractional coordinates of all 4 atoms:
La1 0.000 0.000 0.000
Tc1 0.250 0.250 0.250
Tc2 0.750 0.750 0.750
Ag1 0.500 0.500 0.500

Calculated values
DFT formation energy	0.724	eV per atom
distance to the lowest polymorph of the same formula	565.7	meV/atom
mass density	9.8	g/cm³

This record from Alexandria describes an optimized crystal structure of LaTc2Ag. The functional is PBE-GGA.

Cell: 5.458 5.458 5.458 Å, 145.05 125.38 66.50°
Fractional coordinates of all 4 atoms:
La1 0.000 0.000 0.000
Tc1 0.239 0.739 0.500
Tc2 0.761 0.261 0.500
Ag1 0.500 0.500 0.000

Calculated values
DFT formation energy	0.638	eV per atom
distance to the lowest polymorph of the same formula	479.1	meV/atom
mass density	9.8	g/cm³

This record from Alexandria describes an optimized crystal structure of LaTc2Ag. The functional is PBE-GGA.

Cell: 2.772 2.772 9.629 Å, 90.00 90.00 90.00°
Fractional coordinates of all 4 atoms:
La1 0.000 0.000 0.000
Tc1 0.500 0.500 0.274
Tc2 0.500 0.500 0.726
Ag1 0.000 0.000 0.500

Calculated values
DFT formation energy	0.709	eV per atom
distance to the lowest polymorph of the same formula	550.5	meV/atom
mass density	9.9	g/cm³

This record from Alexandria describes an optimized crystal structure of La2TcAg. The functional is PBE-GGA.

Cell: 3.708 4.967 5.833 Å, 90.00 105.48 90.00°
Fractional coordinates of all 4 atoms:
La1 0.000 0.000 0.000
La2 0.272 0.500 0.594
Tc1 0.608 0.500 0.014
Ag1 0.697 0.000 0.435

Calculated values
DFT formation energy	0.020	eV per atom
mass density	7.8	g/cm³

This record from Alexandria describes an optimized crystal structure of LaTc4Ag. The functional is PBE-GGA.

Cell: 5.379 5.379 5.379 Å, 60.00 60.00 60.00°
Fractional coordinates of all 6 atoms:
La1 0.000 0.000 0.000
Tc1 0.126 0.625 0.625
Tc2 0.625 0.126 0.625
Tc3 0.625 0.625 0.126
Tc4 0.625 0.625 0.625
Ag1 0.250 0.250 0.250

Calculated values
DFT formation energy	0.385	eV per atom
mass density	9.6	g/cm³

This record from Alexandria describes an optimized crystal structure of LaTc2Ag. The functional is PBE-GGA.

Cell: 5.651 5.651 2.922 Å, 101.73 101.73 118.81°
Fractional coordinates of all 4 atoms:
La1 0.000 0.000 0.000
Tc1 0.000 0.500 0.500
Tc2 0.500 0.000 0.500
Ag1 0.500 0.500 0.000

Calculated values
DFT formation energy	0.569	eV per atom
distance to the lowest polymorph of the same formula	410.2	meV/atom
mass density	9.8	g/cm³

This record from Alexandria describes an optimized crystal structure of La2TcAg. The functional is PBE-GGA.

Cell: 5.204 5.204 3.679 Å, 90.00 90.00 90.00°
Fractional coordinates of all 4 atoms:
La1 0.000 0.500 0.000
La2 0.500 0.000 0.000
Tc1 0.000 0.000 0.500
Ag1 0.500 0.500 0.500

Calculated values
DFT formation energy	0.046	eV per atom
mass density	8.1	g/cm³

This record from Alexandria describes an optimized crystal structure of LaTc2Ag. The functional is PBE-GGA.

Cell: 3.457 4.637 4.829 Å, 90.00 90.00 90.00°
Fractional coordinates of all 4 atoms:
La1 0.000 0.000 0.000
Tc1 0.000 0.500 0.500
Tc2 0.500 0.000 0.500
Ag1 0.500 0.500 0.000

Calculated values
DFT formation energy	0.570	eV per atom
distance to the lowest polymorph of the same formula	411.2	meV/atom
mass density	9.5	g/cm³

This record from Alexandria describes an optimized crystal structure of LaTc2Ag. The functional is PBE-GGA.

Cell: 3.568 3.568 6.607 Å, 90.00 90.00 90.00°
Fractional coordinates of all 4 atoms:
La1 0.000 0.000 0.000
Tc1 0.500 0.500 0.325
Tc2 0.500 0.500 0.675
Ag1 0.000 0.000 0.500

Calculated values
DFT formation energy	0.640	eV per atom
distance to the lowest polymorph of the same formula	481.2	meV/atom
mass density	8.7	g/cm³

no.,density of states at the Fermi level (states/eV per cell)
1,3.1
2,7.7
3,4.1
4,12.5
5,3.9
6,3.2
7,4.4
8,5.6
9,2.8
10,24.9
11,20.8
12,7.1
13,5.7
14,4.5
15,2.6
16,6.7
17,4.7
18,4.3
19,4.1
20,5.0